No. 1
A plane-wave DFT calculation with GGA-PBEsol was carried out for a relaxed structure of KCrW3.

Calculated values
ΔH_f (0 K) (eV/atom): 3.718
Fermi-level density of states (states/eV/cell): 5.29

a b c (Å): 4.4377 4.4377 4.4377
angles (deg): 90.00 90.00 90.00
Space group Pm-3m (No. 221)
One atom of each set of equivalent atoms:
K 0.0000 0.0000 0.0000
Cr 0.5000 0.5000 0.5000
W 0.0000 0.0000 0.5000


No. 2
A plane-wave DFT calculation with GGA-PBEsol was carried out for a relaxed structure of KCrW2.

Calculated values
ΔH_f (0 K) (eV/atom): 0.920
Fermi-level density of states (states/eV/cell): 7.90
Energy relative to the lowest polymorph listed for this composition (meV/atom): 36

a b c (Å): 3.0808 4.5045 10.2193
angles (deg): 90.00 90.00 90.00
Space group Cmm2 (No. 35)
One atom of each set of equivalent atoms:
K 0.0000 0.0000 0.0000
Cr 0.0000 0.5000 0.7094
W 0.0000 0.0000 0.5205
W 0.0000 0.5000 0.3029


No. 3
A plane-wave DFT calculation with GGA-PBEsol was carried out for a relaxed structure of K2CrW.

Calculated values
ΔH_f (0 K) (eV/atom): 1.738
Fermi-level density of states (states/eV/cell): 3.56
Energy relative to the lowest polymorph listed for this composition (meV/atom): 0

a b c (Å): 2.8278 2.8278 11.7265
angles (deg): 90.00 90.00 90.00
Space group P4/mmm (No. 123)
One atom of each set of equivalent atoms:
K 0.0000 0.0000 0.2430
Cr 0.5000 0.5000 0.5000
W 0.5000 0.5000 0.0000


No. 4
A plane-wave DFT calculation with GGA-PBEsol was carried out for a relaxed structure of KCr2W.

Calculated values
ΔH_f (0 K) (eV/atom): 0.945
Fermi-level density of states (states/eV/cell): 3.57
Energy relative to the lowest polymorph listed for this composition (meV/atom): 0

a b c (Å): 2.7267 4.1230 7.1983
angles (deg): 90.00 90.19 90.00
Space group P2/m (No. 10)
One atom of each set of equivalent atoms:
K 0.0000 0.0000 0.0000
Cr 0.1113 0.5000 0.3677
W 0.5000 0.0000 0.5000


No. 5
A plane-wave DFT calculation with GGA-PBEsol was carried out for a relaxed structure of KCrW2.

Calculated values
ΔH_f (0 K) (eV/atom): 0.884
Fermi-level density of states (states/eV/cell): 6.12
Energy relative to the lowest polymorph listed for this composition (meV/atom): 0

a b c (Å): 3.0335 4.4986 10.2175
angles (deg): 90.00 90.00 90.00
Space group Cmmm (No. 65)
One atom of each set of equivalent atoms:
K 0.0000 0.0000 0.0000
Cr 0.0000 0.0000 0.5000
W 0.0000 0.5000 0.3041


No. 6
A plane-wave DFT calculation with GGA-PBEsol was carried out for a relaxed structure of KCrW2.

Calculated values
ΔH_f (0 K) (eV/atom): 1.122
Fermi-level density of states (states/eV/cell): 4.63
Energy relative to the lowest polymorph listed for this composition (meV/atom): 238

a b c (Å): 2.8168 3.6015 8.2739
angles (deg): 90.00 90.00 90.00
Space group Pmmm (No. 47)
One atom of each set of equivalent atoms:
K 0.0000 0.0000 0.0000
Cr 0.0000 0.0000 0.5000
W 0.5000 0.5000 0.3542


No. 7
A plane-wave DFT calculation with GGA-PBEsol was carried out for a relaxed structure of KCrW2.

Calculated values
ΔH_f (0 K) (eV/atom): 1.034
Fermi-level density of states (states/eV/cell): 12.15
Energy relative to the lowest polymorph listed for this composition (meV/atom): 150

a b c (Å): 2.8620 2.8620 30.1213
angles (deg): 90.00 90.00 120.00
Space group R-3m (No. 166, hexagonal axes)
One atom of each set of equivalent atoms:
K 0.0000 0.0000 0.0000
Cr 0.0000 0.0000 0.5000
W 0.0000 0.0000 0.2306


No. 8
A plane-wave DFT calculation with GGA-PBEsol was carried out for a relaxed structure of KCrW.

Calculated values
ΔH_f (0 K) (eV/atom): 1.179
Fermi-level density of states (states/eV/cell): 5.44
Energy relative to the lowest polymorph listed for this composition (meV/atom): 0

a b c (Å): 3.1033 3.1033 13.5709
angles (deg): 90.00 90.00 90.00
Space group I4mm (No. 107)
One atom of each set of equivalent atoms:
K 0.0000 0.0000 0.0000
Cr 0.0000 0.0000 0.2957
W 0.0000 0.0000 0.7206


No. 9
A plane-wave DFT calculation with GGA-PBEsol was carried out for a relaxed structure of KCrW.

Calculated values
ΔH_f (0 K) (eV/atom): 1.887
Fermi-level density of states (states/eV/cell): 2.18
Energy relative to the lowest polymorph listed for this composition (meV/atom): 708

a b c (Å): 4.9555 4.9555 2.5453
angles (deg): 90.00 90.00 120.00
Space group P3m1 (No. 156)
One atom of each set of equivalent atoms:
K 0.0000 0.0000 0.0000
Cr 0.6667 0.3333 0.2992
W 0.3333 0.6667 0.6655


No. 10
A plane-wave DFT calculation with GGA-PBEsol was carried out for a relaxed structure of K2CrW.

Calculated values
ΔH_f (0 K) (eV/atom): 2.369
Fermi-level density of states (states/eV/cell): 5.52
Energy relative to the lowest polymorph listed for this composition (meV/atom): 631

a b c (Å): 8.1378 8.1378 8.1378
angles (deg): 90.00 90.00 90.00
Space group Fm-3m (No. 225)
One atom of each set of equivalent atoms:
K 0.2500 0.2500 0.2500
Cr 0.0000 0.0000 0.0000
W 0.0000 0.0000 0.5000


No. 11
A plane-wave DFT calculation with GGA-PBEsol was carried out for a relaxed structure of KCr2W.

Calculated values
ΔH_f (0 K) (eV/atom): 0.953
Fermi-level density of states (states/eV/cell): 2.51
Energy relative to the lowest polymorph listed for this composition (meV/atom): 8

a b c (Å): 3.3002 3.3002 7.6051
angles (deg): 90.00 90.00 90.00
Space group P4/mmm (No. 123)
One atom of each set of equivalent atoms:
K 0.0000 0.0000 0.0000
Cr 0.5000 0.5000 0.3678
W 0.0000 0.0000 0.5000


No. 12
A plane-wave DFT calculation with GGA-PBEsol was carried out for a relaxed structure of KYCr2.

Calculated values
ΔH_f (0 K) (eV/atom): 0.692
Fermi-level density of states (states/eV/cell): 4.39
Energy relative to the lowest polymorph listed for this composition (meV/atom): 0

a b c (Å): 3.1637 3.1637 9.4659
angles (deg): 90.00 90.00 90.00
Space group P4mm (No. 99)
One atom of each set of equivalent atoms:
K 0.0000 0.0000 0.0000
Y 0.5000 0.5000 0.3899
Cr 0.0000 0.0000 0.6056
Cr 0.5000 0.5000 0.7046


Copy entry 8 word for word.
A plane-wave DFT calculation with GGA-PBEsol was carried out for a relaxed structure of KCrW.

Calculated values
ΔH_f (0 K) (eV/atom): 1.179
Fermi-level density of states (states/eV/cell): 5.44
Energy relative to the lowest polymorph listed for this composition (meV/atom): 0

a b c (Å): 3.1033 3.1033 13.5709
angles (deg): 90.00 90.00 90.00
Space group I4mm (No. 107)
One atom of each set of equivalent atoms:
K 0.0000 0.0000 0.0000
Cr 0.0000 0.0000 0.2957
W 0.0000 0.0000 0.7206


What did the fifth record say?
A plane-wave DFT calculation with GGA-PBEsol was carried out for a relaxed structure of KCrW2.

Calculated values
ΔH_f (0 K) (eV/atom): 0.884
Fermi-level density of states (states/eV/cell): 6.12
Energy relative to the lowest polymorph listed for this composition (meV/atom): 0

a b c (Å): 3.0335 4.4986 10.2175
angles (deg): 90.00 90.00 90.00
Space group Cmmm (No. 65)
One atom of each set of equivalent atoms:
K 0.0000 0.0000 0.0000
Cr 0.0000 0.0000 0.5000
W 0.0000 0.5000 0.3041


Q: Among the records above, which one has the highest ΔH_f (0 K)?
A: KCrW3


Repeat the seventh record exactly.
A plane-wave DFT calculation with GGA-PBEsol was carried out for a relaxed structure of KCrW2.

Calculated values
ΔH_f (0 K) (eV/atom): 1.034
Fermi-level density of states (states/eV/cell): 12.15
Energy relative to the lowest polymorph listed for this composition (meV/atom): 150

a b c (Å): 2.8620 2.8620 30.1213
angles (deg): 90.00 90.00 120.00
Space group R-3m (No. 166, hexagonal axes)
One atom of each set of equivalent atoms:
K 0.0000 0.0000 0.0000
Cr 0.0000 0.0000 0.5000
W 0.0000 0.0000 0.2306